First-principles (PBE) data for a geometry-optimized Y3TeN structure, as listed in Alexandria via LeMat-Bulk.

* calculated volume: 22.3 Å³ per atom
* space group: Pm-3m
* uncorrected formation energy: -918 meV per atom
* crystal system: cubic
* DOS at the Fermi energy: 7.16 states/eV per cell
* E_tot: -7.090 eV per atom

Cell: 4.813 4.813 4.813 Å, 90.00 90.00 90.00°
Fractional coordinates of all 5 atoms:
Y 0.000 0.000 0.500
Y 0.000 0.500 0.000
Y 0.500 0.000 0.000
Te 0.500 0.500 0.500
N 0.000 0.000 0.000

---

First-principles (PBE) data for a geometry-optimized Y2Te2N structure, as listed in Alexandria via LeMat-Bulk.

* calculated volume: 27.5 Å³ per atom
* space group: I4/mmm
* uncorrected formation energy: -58 meV per atom
* crystal system: tetragonal
* DOS at the Fermi energy: 1.86 states/eV per cell
* E_tot: -5.565 eV per atom

Cell: 5.747 5.747 5.747 Å, 118.16 118.16 93.22°
Fractional coordinates of all 5 atoms:
Y 0.250 0.750 0.500
Y 0.750 0.250 0.500
Te 0.204 0.204 0.000
Te 0.796 0.796 0.000
N 0.500 0.500 0.000

---

First-principles (PBE) data for a geometry-optimized YTe2N structure, as listed in Alexandria via LeMat-Bulk.

* calculated volume: 32.1 Å³ per atom
* space group: R-3m
* uncorrected formation energy: 217 meV per atom
* crystal system: trigonal
* DOS at the Fermi energy: 2.54 states/eV per cell
* E_tot: -5.051 eV per atom

Cell: 7.685 7.685 7.685 Å, 34.27 34.27 34.27°
Fractional coordinates of all 4 atoms:
Y 0.000 0.000 0.000
Te 0.410 0.410 0.410
Te 0.590 0.590 0.590
N 0.500 0.500 0.500

---

First-principles (PBE) data for a geometry-optimized Y3Te3N structure, as listed in Alexandria via LeMat-Bulk.

* calculated volume: 28.8 Å³ per atom
* space group: P2_1/c
* uncorrected formation energy: -1512 meV per atom
* crystal system: monoclinic
* E_tot: -6.818 eV per atom

Cell: 8.146 12.048 8.674 Å, 90.00 108.98 90.00°
Fractional coordinates of all 28 atoms:
Y 0.101 0.023 0.361
Y 0.101 0.477 0.861
Y 0.267 0.709 0.153
Y 0.267 0.791 0.653
Y 0.340 0.088 0.795
Y 0.340 0.412 0.295
Y 0.660 0.588 0.705
Y 0.660 0.912 0.205
Y 0.733 0.209 0.347
Y 0.733 0.291 0.847
Y 0.899 0.523 0.139
Y 0.899 0.977 0.639
Te 0.008 0.233 0.689
Te 0.008 0.267 0.189
Te 0.275 0.522 0.585
Te 0.275 0.978 0.085
Te 0.452 0.193 0.517
Te 0.452 0.307 0.017
Te 0.548 0.693 0.983
Te 0.548 0.807 0.483
Te 0.725 0.022 0.915
Te 0.725 0.478 0.415
Te 0.992 0.733 0.811
Te 0.992 0.767 0.311
N 0.174 0.535 0.123
N 0.174 0.965 0.623
N 0.826 0.035 0.377
N 0.826 0.465 0.877

---

Q: The highest calculated volume belongs to which entry?
A: YTe2N

---

Q: Which value of uncorrected formation energy does entry 1 give?
A: -918 meV per atom